[1]
! MgTa2Re GGA-PBE optimized geometry; values from VASP
! - Fermi-level density of states (states/eV per atom) = 0.977
! - ρ (g/cm³) = 13.9
! - formation energy from the elements (eV/atom) = 0.14
! - total energy (hartree per atom) = -0.3417
&SYSTEM
  ibrav = 0, nat = 4, ntyp = 3
/
ATOMIC_SPECIES
Ta 180.95 Ta.upf
Mg 24.30 Mg.upf
Re 186.21 Re.upf
CELL_PARAMETERS angstrom
-4.196 -1.569 0.057
0.615 -1.500 -4.176
1.129 -2.977 1.235
ATOMIC_POSITIONS angstrom
Ta 0.000 0.000 0.000
Ta -1.791 -1.534 -2.060
Mg -1.533 -2.273 0.646
Re 0.872 -2.238 -1.470

[2]
! Mg2TaRe GGA-PBE optimized geometry; values from VASP
! - distance to the lowest polymorph of the same formula (eV per atom) = 0.252
! - Fermi-level density of states (states/eV per atom) = 0.713
! - ρ (g/cm³) = 9.9
! - formation energy from the elements (eV/atom) = 0.35
! - total energy (hartree per atom) = -0.2399
&SYSTEM
  ibrav = 0, nat = 4, ntyp = 3
/
ATOMIC_SPECIES
Mg 24.30 Mg.upf
Re 186.21 Re.upf
Ta 180.95 Ta.upf
CELL_PARAMETERS angstrom
10.040 0.010 0.006
9.631 2.837 0.006
9.631 1.394 2.471
ATOMIC_POSITIONS angstrom
Mg 14.791 2.140 1.253
Mg 29.163 4.220 2.471
Re 7.326 1.060 0.621
Ta 21.977 3.180 1.862

[3]
! MgTaRe2 GGA-PBE optimized geometry; values from VASP
! - Fermi-level density of states (states/eV per atom) = 1.408
! - ρ (g/cm³) = 14.6
! - formation energy from the elements (eV/atom) = 0.30
! - total energy (hartree per atom) = -0.3411
&SYSTEM
  ibrav = 0, nat = 4, ntyp = 3
/
ATOMIC_SPECIES
Ta 180.95 Ta.upf
Re 186.21 Re.upf
Mg 24.30 Mg.upf
CELL_PARAMETERS angstrom
-0.046 -9.483 2.528
-0.175 -9.809 -0.253
2.308 -9.485 1.007
ATOMIC_POSITIONS angstrom
Ta 1.566 -21.583 2.462
Re 1.045 -14.405 1.643
Re 2.086 -28.761 3.281
Mg 0.522 -7.194 0.821

[4]
! Mg2TaRe GGA-PBE optimized geometry; values from VASP
! - distance to the lowest polymorph of the same formula (eV per atom) = 0.111
! - Fermi-level density of states (states/eV per atom) = 0.598
! - ρ (g/cm³) = 10.0
! - formation energy from the elements (eV/atom) = 0.20
! - total energy (hartree per atom) = -0.2451
&SYSTEM
  ibrav = 0, nat = 4, ntyp = 3
/
ATOMIC_SPECIES
Mg 24.30 Mg.upf
Ta 180.95 Ta.upf
Re 186.21 Re.upf
CELL_PARAMETERS angstrom
-0.810 2.055 -2.708
-3.921 -1.510 0.027
-1.298 3.423 2.985
ATOMIC_POSITIONS angstrom
Mg 0.000 0.000 0.000
Mg -2.365 0.272 -1.341
Ta -2.609 0.956 1.506
Re -1.054 2.739 0.138

[5]
! Mg2TaRe GGA-PBE optimized geometry; values from VASP
! - distance to the lowest polymorph of the same formula (eV per atom) = 0.249
! - Fermi-level density of states (states/eV per atom) = 0.988
! - ρ (g/cm³) = 9.5
! - formation energy from the elements (eV/atom) = 0.34
! - total energy (hartree per atom) = -0.2400
&SYSTEM
  ibrav = 0, nat = 4, ntyp = 3
/
ATOMIC_SPECIES
Mg 24.30 Mg.upf
Ta 180.95 Ta.upf
Re 186.21 Re.upf
CELL_PARAMETERS angstrom
2.798 0.000 0.000
0.000 2.798 0.000
0.000 0.000 9.289
ATOMIC_POSITIONS angstrom
Mg 1.399 1.399 2.526
Mg 0.000 0.000 9.224
Ta 1.399 1.399 6.833
Re 0.000 0.000 4.639

[6]
! Mg2TaRe2 GGA-PBE optimized geometry; values from VASP
! - distance to the lowest polymorph of the same formula (eV per atom) = 0.435
! - Fermi-level density of states (states/eV per atom) = 1.215
! - ρ (g/cm³) = 11.2
! - formation energy from the elements (eV/atom) = 0.94
! - total energy (hartree per atom) = -0.2588
&SYSTEM
  ibrav = 0, nat = 5, ntyp = 3
/
ATOMIC_SPECIES
Re 186.21 Re.upf
Mg 24.30 Mg.upf
Ta 180.95 Ta.upf
CELL_PARAMETERS angstrom
3.675 0.000 0.000
0.000 3.675 0.000
1.837 1.837 6.592
ATOMIC_POSITIONS angstrom
Re 1.837 3.675 3.296
Re 3.675 1.837 3.296
Mg 3.675 3.675 5.315
Mg 1.837 1.837 1.276
Ta 0.000 0.000 0.000

[7]
! Tb2MgRe GGA-PBE optimized geometry; values from VASP
! - distance to the lowest polymorph of the same formula (eV per atom) = 0.676
! - Fermi-level density of states (states/eV per atom) = 1.280
! - ρ (g/cm³) = 9.3
! - formation energy from the elements (eV/atom) = 0.74
! - total energy (hartree per atom) = -0.1870
&SYSTEM
  ibrav = 0, nat = 4, ntyp = 3
/
ATOMIC_SPECIES
Tb 158.93 Tb.upf
Re 186.21 Re.upf
Mg 24.30 Mg.upf
CELL_PARAMETERS angstrom
3.078 0.000 0.000
1.539 2.666 0.000
1.539 0.889 11.522
ATOMIC_POSITIONS angstrom
Tb 1.539 0.889 8.741
Tb 4.617 2.666 2.781
Re 0.000 0.000 0.000
Mg 3.078 1.777 5.761

[8]
! TbMgRe4 GGA-PBE optimized geometry; values from VASP
! - Fermi-level density of states (states/eV per atom) = 0.426
! - ρ (g/cm³) = 14.3
! - formation energy from the elements (eV/atom) = 0.00
! - total energy (hartree per atom) = -0.3431
&SYSTEM
  ibrav = 0, nat = 6, ntyp = 3
/
ATOMIC_SPECIES
Re 186.21 Re.upf
Mg 24.30 Mg.upf
Tb 158.93 Tb.upf
CELL_PARAMETERS angstrom
-4.266 -0.152 -3.215
-3.255 -4.237 0.078
-4.912 0.442 2.056
ATOMIC_POSITIONS angstrom
Re -6.143 -0.342 -0.715
Re -5.311 -2.690 -1.708
Re -7.776 -2.468 -0.676
Re -5.635 -2.392 0.938
Mg 0.000 0.000 0.000
Tb -3.108 -0.986 -0.270

Among the records above, which one has the lowest formation energy from the elements? TbMgRe4

Look up the total energy of the second one. -0.2399 hartree per atom

Copy entry 7 word for word.
! Tb2MgRe GGA-PBE optimized geometry; values from VASP
! - distance to the lowest polymorph of the same formula (eV per atom) = 0.676
! - Fermi-level density of states (states/eV per atom) = 1.280
! - ρ (g/cm³) = 9.3
! - formation energy from the elements (eV/atom) = 0.74
! - total energy (hartree per atom) = -0.1870
&SYSTEM
  ibrav = 0, nat = 4, ntyp = 3
/
ATOMIC_SPECIES
Tb 158.93 Tb.upf
Re 186.21 Re.upf
Mg 24.30 Mg.upf
CELL_PARAMETERS angstrom
3.078 0.000 0.000
1.539 2.666 0.000
1.539 0.889 11.522
ATOMIC_POSITIONS angstrom
Tb 1.539 0.889 8.741
Tb 4.617 2.666 2.781
Re 0.000 0.000 0.000
Mg 3.078 1.777 5.761